Record 1
Here is a geometry-optimized Pr4ZnSe3 structure from Alexandria. Energies are from PBE.

Symmetry: No. 139

Cell: 7.410 7.410 7.410 Å, 131.74 131.74 70.64°
Fractional positions:
Pr1 0.000 0.500 0.500
Pr2 0.247 0.247 0.000
Pr3 0.500 0.000 0.500
Pr4 0.753 0.753 0.000
Zn1 0.500 0.500 0.000
Se1 0.000 0.000 0.000
Se2 0.250 0.750 0.500
Se3 0.750 0.250 0.500

=====

Record 2
Here is a geometry-optimized Pr5ZnSe4 structure from Alexandria. Energies are from PBE.

Symmetry: No. 87

Cell: 7.413 7.413 7.413 Å, 99.57 99.57 131.86°
Fractional positions:
Pr1 0.000 0.000 0.000
Pr2 0.200 0.600 0.800
Pr3 0.400 0.200 0.600
Pr4 0.600 0.800 0.400
Pr5 0.800 0.400 0.200
Zn1 0.500 0.500 0.000
Se1 0.099 0.301 0.400
Se2 0.301 0.901 0.202
Se3 0.699 0.099 0.798
Se4 0.901 0.699 0.600

=====

Number 1: formation energy (no corrections) -1477 meV per atom. Number 2: formation energy (no corrections) -1554 meV per atom.